Density functional theory data (PBE) for RhAu3 after structural relaxation.

POSCAR file:
```
RhAu3
1.0
4.9564 0.0000 0.0000
0.0000 9.5578 0.0000
0.0000 0.0000 5.7692
Rh Au
4 12
direct
0.5815 0.7500 0.8589
0.4185 0.2500 0.1411
0.9185 0.2500 0.3589
0.0815 0.7500 0.6411
0.7561 0.5016 0.6236
0.2561 0.5016 0.8764
0.0783 0.7500 0.1254
0.7439 0.4984 0.1236
0.5783 0.7500 0.3746
0.7561 0.9984 0.6236
0.2561 0.9984 0.8764
0.9217 0.2500 0.8746
0.4217 0.2500 0.6254
0.2439 0.4984 0.3764
0.2439 0.0016 0.3764
0.7439 0.0016 0.1236
```

## Properties
Its space group is Pnma (62).

=====

Density functional theory data (PBE) for RhAu3 after structural relaxation.

POSCAR file:
```
RhAu3
1.0
-1.4226 2.4598 4.9328
1.4226 -2.4598 4.9328
1.4226 2.4598 -4.9328
Au Rh
3 1
direct
0.5000 0.0000 0.5000
0.2435 0.2435 0.0000
0.7565 0.7565 0.0000
0.0000 0.5000 0.5000
```

## Properties
Its space group is Immm (71).

=====

no.,ΔH_f (0 K) (kJ per mole of atoms),size of the total moment (μB per cell)
1,11.3,0.00
2,14.9,0.27